[1]
DFT (PBE) results for a geometry-optimized BaY2As structure.

Summary:
symmetry = Cmmm (65)
VASP energy = -5.3276 eV/atom
energy relative to the elements = -452 meV per atom

Geometry as POSCAR:
```
BaY2As
1.0
3.321 -5.820 0.000
3.321 5.820 0.000
0.000 0.000 3.897
Ba Y As
1 2 1
direct
0.000 0.000 0.000 Ba
0.327 0.673 0.500 Y
0.673 0.327 0.500 Y
0.500 0.500 0.000 As
```


[2]
DFT (PBE) results for a geometry-optimized Y2Mg structure.

Summary:
symmetry = P-62m (189)
VASP energy = -4.7868 eV/atom
energy relative to the elements = 54 meV per atom

Geometry as POSCAR:
```
Y2Mg
1.0
6.043 0.000 0.000
-3.021 5.233 0.000
0.000 0.000 5.615
Y Mg
4 2
direct
0.000 0.000 0.000 Y
0.000 0.652 0.500 Y
0.348 0.348 0.500 Y
0.652 0.000 0.500 Y
0.333 0.667 0.000 Mg
0.667 0.333 0.000 Mg
```


[3]
DFT (PBE) results for a geometry-optimized Co2SiAu structure.

Summary:
symmetry = C2/m (12)
VASP energy = -5.7134 eV/atom
E_form (uncorrected) = 0.0146 eV per atom

Geometry as POSCAR:
```
Co2SiAu
1.0
3.688 -1.349 0.000
3.688 1.349 0.000
-1.030 0.000 5.409
Co Si Au
2 1 1
direct
0.237 0.237 0.189 Co
0.763 0.763 0.811 Co
0.500 0.500 0.000 Si
0.000 0.000 0.500 Au
```


[4]
DFT (PBE) results for a geometry-optimized Te2PPtI structure.

Summary:
ΔE to the lowest computed polymorph = 0.0000 eV/atom
symmetry = P4/mmm (123)
VASP energy = -3.0806 eV/atom
E_form (uncorrected) = 0.7762 eV per atom

Geometry as POSCAR:
```
Te2PPtI
1.0
5.280 0.000 0.000
0.000 5.280 0.000
0.000 0.000 5.384
Te P Pt I
2 1 1 1
direct
0.000 0.500 0.000 Te
0.500 0.000 0.000 Te
0.000 0.000 0.500 P
0.500 0.500 0.000 Pt
0.500 0.500 0.500 I
```